[1]
The following is a DFT calculation (PBE-GGA) of a relaxed structure of TiNb2Zn.

Cell and atoms, written as CIF:
```
data_TiNb2Zn
_cell_length_a 3.934
_cell_length_b 3.934
_cell_length_c 4.378
_cell_angle_alpha 90.00
_cell_angle_beta 90.00
_cell_angle_gamma 90.00
_space_group_name_H-M_alt 'P 4/m m m'
_space_group_IT_number 123
_space_group_name_Hall '-P 4 2'
loop_
_atom_site_label
_atom_site_type_symbol
_atom_site_fract_x
_atom_site_fract_y
_atom_site_fract_z
Ti1 Ti 0.000 0.000 0.000
Nb1 Nb 0.000 0.500 0.500
Zn1 Zn 0.500 0.500 0.000
```

Properties
The formation energy comes out at -0.22 eV per formula unit. Its total energy is -29.53 eV/cell.

***

[2]
The following is a DFT calculation (PBE-GGA) of a relaxed structure of Y4Er2Tm3.

Cell and atoms, written as CIF:
```
data_Y4Er2Tm3
_cell_length_a 16.012
_cell_length_b 11.515
_cell_length_c 6.119
_cell_angle_alpha 90.00
_cell_angle_beta 95.62
_cell_angle_gamma 90.00
_space_group_name_H-M_alt 'C 1 2/c 1'
_space_group_IT_number 15
loop_
_space_group_symop_operation_xyz
'x,y,z'
'-x,-y,-z'
'-x,y,-z+1/2'
'x,-y,z+1/2'
'x+1/2,y+1/2,z'
'-x+1/2,-y+1/2,-z'
'-x+1/2,y+1/2,-z+1/2'
'x+1/2,-y+1/2,z+1/2'
loop_
_atom_site_label
_atom_site_type_symbol
_atom_site_fract_x
_atom_site_fract_y
_atom_site_fract_z
Y1 Y 0.046 0.144 0.012
Y2 Y 0.212 0.358 0.847
Er1 Er 0.119 0.357 0.322
Tm1 Tm 0.000 0.406 0.750
Tm2 Tm 0.167 0.097 0.581
```

Properties
The formation energy comes out at 0.91 eV per formula unit. Its total energy is -189.94 eV/cell.

***

What did the second record say?
The following is a DFT calculation (PBE-GGA) of a relaxed structure of Y4Er2Tm3.

Cell and atoms, written as CIF:
```
data_Y4Er2Tm3
_cell_length_a 16.012
_cell_length_b 11.515
_cell_length_c 6.119
_cell_angle_alpha 90.00
_cell_angle_beta 95.62
_cell_angle_gamma 90.00
_space_group_name_H-M_alt 'C 1 2/c 1'
_space_group_IT_number 15
loop_
_space_group_symop_operation_xyz
'x,y,z'
'-x,-y,-z'
'-x,y,-z+1/2'
'x,-y,z+1/2'
'x+1/2,y+1/2,z'
'-x+1/2,-y+1/2,-z'
'-x+1/2,y+1/2,-z+1/2'
'x+1/2,-y+1/2,z+1/2'
loop_
_atom_site_label
_atom_site_type_symbol
_atom_site_fract_x
_atom_site_fract_y
_atom_site_fract_z
Y1 Y 0.046 0.144 0.012
Y2 Y 0.212 0.358 0.847
Er1 Er 0.119 0.357 0.322
Tm1 Tm 0.000 0.406 0.750
Tm2 Tm 0.167 0.097 0.581
```

Properties
The formation energy comes out at 0.91 eV per formula unit. Its total energy is -189.94 eV/cell.

***

What did the first record say?
The following is a DFT calculation (PBE-GGA) of a relaxed structure of TiNb2Zn.

Cell and atoms, written as CIF:
```
data_TiNb2Zn
_cell_length_a 3.934
_cell_length_b 3.934
_cell_length_c 4.378
_cell_angle_alpha 90.00
_cell_angle_beta 90.00
_cell_angle_gamma 90.00
_space_group_name_H-M_alt 'P 4/m m m'
_space_group_IT_number 123
_space_group_name_Hall '-P 4 2'
loop_
_atom_site_label
_atom_site_type_symbol
_atom_site_fract_x
_atom_site_fract_y
_atom_site_fract_z
Ti1 Ti 0.000 0.000 0.000
Nb1 Nb 0.000 0.500 0.500
Zn1 Zn 0.500 0.500 0.000
```

Properties
The formation energy comes out at -0.22 eV per formula unit. Its total energy is -29.53 eV/cell.